Computed, not measured: crystalline PuThN3 at its relaxed geometry at the PBE level of DFT.

## Properties
- Total magnetic moment: 3.0 μB/f.u.
- E_form (uncorrected): -927 meV per atom
- DOS(E_F): 9.3 states/eV/cell
- Space-group type: P6_322, No. 182

Cell: 5.9722 5.9722 5.4486 Å, 90.00 90.00 120.00°
Closest atoms and distances in Å follow each position.
Positions (direct):
Pu 0.0000 0.0000 0.2500  6 N 2.25
Pu 0.0000 0.0000 0.7500  6 N 2.25
Th 0.3333 0.6667 0.2500  6 N 2.50
Th 0.6667 0.3333 0.7500  6 N 2.50
N 0.0000 0.2999 0.5000  2 Pu 2.25, 2 Th 2.50
N 0.0000 0.7001 0.0000  2 Pu 2.25, 2 Th 2.50
N 0.2999 0.0000 0.5000  2 Pu 2.25, 2 Th 2.50
N 0.2999 0.2999 0.0000  2 Pu 2.25, 2 Th 2.50
N 0.7001 0.0000 0.0000  2 Pu 2.25, 2 Th 2.50
N 0.7001 0.7001 0.5000  2 Pu 2.25, 2 Th 2.50